No. 1
MoH2Pt2 | GGA-PBE | relaxed

```
MoH2Pt2
1.0
5.482 0.000 0.000
0.000 5.482 0.000
0.000 0.000 3.786
H Pt Mo
4 4 2
Direct
0.666 0.834 0.000
0.334 0.166 0.000
0.166 0.666 0.000
0.834 0.334 0.000
0.826 0.326 0.500
0.674 0.826 0.500
0.174 0.674 0.500
0.326 0.174 0.500
0.500 0.500 0.000
0.000 0.000 0.000
```

Values from the calculation:
Calculated volume: 11.38 Å³/atom

No. 2
Mo3HPt | GGA-PBE | relaxed

```
Mo3HPt
1.0
4.009 0.000 0.000
0.000 4.009 0.000
0.000 0.000 4.009
Mo H Pt
3 1 1
Direct
0.500 0.000 0.000
0.000 0.500 0.000
0.000 0.000 0.500
0.000 0.000 0.000
0.500 0.500 0.500
```

Values from the calculation:
Calculated volume: 12.89 Å³/atom

no.,energy (eV/atom),energy above the lowest structure with this stoichiometry (eV/atom)
1,-5.812,0.093
2,-8.494,0.000